No. 1
# LaAlGeW2, optimized geometry, DFT PBE-GGA
data_LaAlGeW2
_chemical_formula_sum 'La1 Al1 Ge1 W2'
_symmetry_space_group_name_H-M 'P 1'
_symmetry_Int_Tables_number 1
_symmetry_space_group_name_Hall 'P 1'
_cell_length_a 4.6806
_cell_length_b 5.4444
_cell_length_c 4.6806
_cell_angle_alpha 90.00
_cell_angle_beta 90.00
_cell_angle_gamma 90.00
loop_
_atom_site_label
_atom_site_fract_x
_atom_site_fract_y
_atom_site_fract_z
_atom_site_occupancy
W1 0.0000 0.0000 0.5000 1
W2 0.5000 0.0000 0.0000 1
Al1 0.0000 0.0000 0.0000 1
Ge1 0.5000 0.5000 0.5000 1
La1 0.0000 0.5000 0.0000 1
# - E_tot (eV per atom) = -6.419
# - energy of formation (eV/atom) = 1.419
# - spin magnetization (Bohr magnetons per cell) = 0.00
# - space-group type = P4/mmm, No. 123

No. 2
# Pr6SnBi5, optimized geometry, DFT PBE-GGA
data_Pr6SnBi5
_chemical_formula_sum 'Pr6 Sn1 Bi5'
_symmetry_space_group_name_H-M 'P 1'
_symmetry_Int_Tables_number 1
_symmetry_space_group_name_Hall 'P 1'
_cell_length_a 8.0013
_cell_length_b 8.0237
_cell_length_c 8.0219
_cell_angle_alpha 59.99
_cell_angle_beta 80.39
_cell_angle_gamma 70.50
loop_
_atom_site_label
_atom_site_fract_x
_atom_site_fract_y
_atom_site_fract_z
_atom_site_occupancy
Bi1 0.5000 0.8316 0.3368 1
Bi2 0.5000 0.5000 0.0000 1
Bi3 0.0000 0.6662 0.6677 1
Bi4 0.5000 0.1684 0.6632 1
Bi5 0.0000 0.3338 0.3323 1
Pr1 0.2474 0.9177 0.6690 1
Pr2 0.7510 0.7523 0.0000 1
Pr3 0.2490 0.2477 0.0000 1
Pr4 0.7526 0.0823 0.3310 1
Pr5 0.7526 0.4133 0.6690 1
Pr6 0.2474 0.5867 0.3310 1
Sn1 0.0000 0.0000 0.0000 1
# - E_tot (eV per atom) = -5.236
# - energy of formation (eV/atom) = -0.895
# - spin magnetization (Bohr magnetons per cell) = 0.00
# - space-group type = C2/m, No. 12